# 1
# CdIn3S

Crystalline CdIn3S at its relaxed geometry (PBEsol, Alexandria via LeMat-Bulk).

The structure in CIF format:
```
data_CdIn3S
_cell_length_a 5.2131
_cell_length_b 5.2131
_cell_length_c 5.2131
_cell_angle_alpha 90.00
_cell_angle_beta 90.00
_cell_angle_gamma 90.00
_symmetry_space_group_name_H-M 'P m -3 m'
_symmetry_Int_Tables_number 221
_symmetry_space_group_name_Hall '-P 4 2 3'
loop_
_atom_site_label
_atom_site_fract_x
_atom_site_fract_y
_atom_site_fract_z
Cd1 0.0000 0.0000 0.0000
In1 0.0000 0.5000 0.5000
S1 0.5000 0.5000 0.5000
```

Output
- N(E_F) (states/eV/f.u.) = 2.314
- formation energy (no corrections) (kJ/mol of formula units) = 134
- total magnetic moment (μB/cell) = 0.00



# 2
# MoOsAu2

Crystalline MoOsAu2 at its relaxed geometry (PBEsol, Alexandria via LeMat-Bulk).

The structure in CIF format:
```
data_MoOsAu2
_cell_length_a 9.2250
_cell_length_b 2.7971
_cell_length_c 4.8950
_cell_angle_alpha 90.00
_cell_angle_beta 99.61
_cell_angle_gamma 90.00
_symmetry_space_group_name_H-M 'C 1 m 1'
_symmetry_Int_Tables_number 8
_symmetry_space_group_name_Hall 'C -2y'
loop_
_atom_site_label
_atom_site_fract_x
_atom_site_fract_y
_atom_site_fract_z
Mo1 0.0000 0.0000 0.0000
Os1 0.2581 0.0000 0.7939
Au1 0.0070 0.5000 0.5165
Au2 0.2521 0.5000 0.2773
```

Output
- N(E_F) (states/eV/f.u.) = 3.877
- total magnetic moment (μB/cell) = 0.00
- relative energy among the computed polymorphs (meV per atom) = 200



# 3
# Li2MgAg2

Crystalline Li2MgAg2 at its relaxed geometry (PBEsol, Alexandria via LeMat-Bulk).

The structure in CIF format:
```
data_Li2MgAg2
_cell_length_a 7.3137
_cell_length_b 7.3137
_cell_length_c 3.1878
_cell_angle_alpha 90.00
_cell_angle_beta 90.00
_cell_angle_gamma 90.00
_symmetry_space_group_name_H-M 'P 4/m b m'
_symmetry_Int_Tables_number 127
_symmetry_space_group_name_Hall '-P 4 2ab'
loop_
_atom_site_label
_atom_site_fract_x
_atom_site_fract_y
_atom_site_fract_z
Li1 0.1596 0.3404 0.0000
Mg1 0.0000 0.0000 0.5000
Ag1 0.1369 0.6369 0.5000
```

Output
- N(E_F) (states/eV/f.u.) = 1.689
- total magnetic moment (μB/cell) = 0.00
- energy (eV per atom) = -2.593